Entry 1:
Below is crystalline Zn2InHg at its relaxed geometry, with properties calculated at the PBE level.

The structure in POSCAR format:
```
Zn2InHg
1.0
1.6723 0.9655 8.6788
-1.6723 0.9655 8.6788
0.0000 -1.9310 8.6788
Zn In Hg
2 1 1
direct
0.0000 0.0000 0.0000
0.2647 0.2647 0.2647
0.7530 0.7530 0.7530
0.5170 0.5170 0.5170
```

Output
As for the total energy: -5.2 eV per cell. The volume comes out at 21.02 Å³ per atom. As for the spin magnetization: 0.00 Bohr magnetons per cell.


Entry 2:
Below is crystalline ZnInHg2 at its relaxed geometry, with properties calculated at the PBE level.

The structure in POSCAR format:
```
ZnInHg2
1.0
0.0000 3.6422 3.6422
3.6422 0.0000 3.6422
3.6422 3.6422 0.0000
Zn In Hg
1 1 2
direct
0.0000 0.0000 0.0000
0.7500 0.7500 0.7500
0.2500 0.2500 0.2500
0.5000 0.5000 0.5000
```

Output
As for the total energy: -4.2 eV per cell. The volume comes out at 24.16 Å³ per atom. As for the spin magnetization: 0.00 Bohr magnetons per cell.


Entry 3:
Below is crystalline Zn4InHg at its relaxed geometry, with properties calculated at the PBE level.

The structure in POSCAR format:
```
Zn4InHg
1.0
0.0000 3.8294 3.8294
3.8294 0.0000 3.8294
3.8294 3.8294 0.0000
Zn In Hg
4 1 1
direct
0.1249 0.1249 0.1249
0.1249 0.1249 0.6252
0.1249 0.6252 0.1249
0.6252 0.1249 0.1249
0.5000 0.5000 0.5000
0.7500 0.7500 0.7500
```

Output
As for the total energy: -7.6 eV per cell. The volume comes out at 18.72 Å³ per atom. As for the spin magnetization: 0.00 Bohr magnetons per cell.


Entry 4:
Below is crystalline ZnIn4Hg8 at its relaxed geometry, with properties calculated at the PBE level.

The structure in POSCAR format:
```
ZnIn4Hg8
1.0
8.8591 -1.6847 0.0000
8.8591 1.6847 0.0000
-6.2638 0.0000 11.4658
Zn In Hg
1 4 8
direct
0.0000 0.0000 0.0000
0.0348 0.0348 0.3883
0.0750 0.0750 0.8444
0.5694 0.5694 0.6247
0.7086 0.7086 0.3496
0.1825 0.1825 0.1140
0.2270 0.2270 0.5790
0.2449 0.2449 0.8401
0.3661 0.3661 0.3376
0.4001 0.4001 0.8066
0.5121 0.5121 0.1751
0.8305 0.8305 0.0812
0.8964 0.8964 0.5827
```

Output
As for the total energy: -14.2 eV per cell. The volume comes out at 26.33 Å³ per atom. As for the spin magnetization: 0.00 Bohr magnetons per cell.


Entry 5:
Below is crystalline ZnIn2Hg2 at its relaxed geometry, with properties calculated at the PBE level.

The structure in POSCAR format:
```
ZnIn2Hg2
1.0
7.3983 0.0000 0.0000
0.0000 7.3983 0.0000
0.0000 0.0000 4.6619
Zn In Hg
2 4 4
direct
0.0000 0.0000 0.0000
0.5000 0.5000 0.0000
0.1614 0.3386 0.5000
0.3386 0.8386 0.5000
0.6614 0.1614 0.5000
0.8386 0.6614 0.5000
0.1506 0.6506 0.0000
0.3494 0.1506 0.0000
0.6506 0.8494 0.0000
0.8494 0.3494 0.0000
```

Output
As for the total energy: -13.7 eV per cell. The volume comes out at 25.52 Å³ per atom. As for the spin magnetization: 0.00 Bohr magnetons per cell.


Entry 6:
Below is crystalline ZnInHg2 at its relaxed geometry, with properties calculated at the PBE level.

The structure in POSCAR format:
```
ZnInHg2
1.0
-4.0210 4.0210 3.0701
4.0210 -4.0210 3.0701
4.0210 4.0210 -3.0701
Zn In Hg
2 2 4
direct
0.0000 0.0000 0.0000
0.7500 0.2500 0.5000
0.2500 0.7500 0.5000
0.5000 0.5000 0.0000
0.0949 0.1250 0.4699
0.3750 0.9051 0.0301
0.6551 0.6250 0.5301
0.8750 0.3449 0.9699
```

Output
As for the total energy: -8.6 eV per cell. The volume comes out at 24.82 Å³ per atom. As for the spin magnetization: 0.00 Bohr magnetons per cell.


Entry 7:
Below is crystalline ZnIn2Hg8 at its relaxed geometry, with properties calculated at the PBE level.

The structure in POSCAR format:
```
ZnIn2Hg8
1.0
5.0452 0.0000 0.0000
0.0000 5.0452 0.0000
0.0000 0.0000 11.2892
Zn In Hg
1 2 8
direct
0.0000 0.0000 0.0000
0.0000 0.0000 0.3173
0.0000 0.0000 0.6827
0.0000 0.5000 0.1364
0.0000 0.5000 0.5000
0.0000 0.5000 0.8636
0.5000 0.0000 0.1364
0.5000 0.0000 0.5000
0.5000 0.0000 0.8636
0.5000 0.5000 0.3153
0.5000 0.5000 0.6847
```

Output
As for the total energy: -8.8 eV per cell. The volume comes out at 26.12 Å³ per atom. As for the spin magnetization: 0.00 Bohr magnetons per cell.


Entry 8:
Below is crystalline ZnInHg2 at its relaxed geometry, with properties calculated at the PBE level.

The structure in POSCAR format:
```
ZnInHg2
1.0
4.0295 0.0000 0.0000
0.0000 4.2295 0.0000
-1.8497 0.0000 5.7447
Zn In Hg
1 1 2
direct
0.0000 0.0000 0.0000
0.5000 0.0000 0.5000
0.2047 0.5000 0.7675
0.7953 0.5000 0.2325
```

Output
As for the total energy: -4.3 eV per cell. The volume comes out at 24.48 Å³ per atom. As for the spin magnetization: 0.00 Bohr magnetons per cell.


Entry 9:
Below is crystalline ZnIn7Hg4 at its relaxed geometry, with properties calculated at the PBE level.

The structure in POSCAR format:
```
ZnIn7Hg4
1.0
4.6974 0.0000 0.0000
-2.3487 4.0681 0.0000
0.0000 0.0000 16.7954
Zn In Hg
1 7 4
direct
0.0000 0.0000 0.0000
0.0000 0.0000 0.2383
0.0000 0.0000 0.5000
0.0000 0.0000 0.7617
0.3333 0.6667 0.6630
0.3333 0.6667 0.9326
0.6667 0.3333 0.0674
0.6667 0.3333 0.3370
0.3333 0.6667 0.1577
0.3333 0.6667 0.4163
0.6667 0.3333 0.5837
0.6667 0.3333 0.8423
```

Output
As for the total energy: -21.1 eV per cell. The volume comes out at 26.75 Å³ per atom. As for the spin magnetization: 0.00 Bohr magnetons per cell.


Entry 10:
Below is crystalline ZnIn3Hg12 at its relaxed geometry, with properties calculated at the PBE level.

The structure in POSCAR format:
```
ZnIn3Hg12
1.0
5.4091 0.0000 0.0000
0.0000 5.4091 0.0000
0.0000 0.0000 14.2425
Zn In Hg
1 3 12
direct
0.0000 0.0000 0.0000
0.0000 0.0000 0.2356
0.0000 0.0000 0.5000
0.0000 0.0000 0.7644
0.0000 0.5000 0.1161
0.0000 0.5000 0.3714
0.0000 0.5000 0.6286
0.0000 0.5000 0.8839
0.5000 0.0000 0.1161
0.5000 0.0000 0.3714
0.5000 0.0000 0.6286
0.5000 0.0000 0.8839
0.5000 0.5000 0.0000
0.5000 0.5000 0.2471
0.5000 0.5000 0.5000
0.5000 0.5000 0.7529
```

Output
As for the total energy: -12.7 eV per cell. The volume comes out at 26.04 Å³ per atom. As for the spin magnetization: 0.00 Bohr magnetons per cell.


Entry 11:
Below is crystalline Zn2In4Hg3 at its relaxed geometry, with properties calculated at the PBE level.

The structure in POSCAR format:
```
Zn2In4Hg3
1.0
7.9764 -1.6453 0.0000
7.9764 1.6453 0.0000
-0.1118 0.0000 8.3245
Zn In Hg
2 4 3
direct
0.1284 0.1284 0.1428
0.8716 0.8716 0.8572
0.0405 0.0405 0.6695
0.3069 0.3069 0.1512
0.6931 0.6931 0.8488
0.9595 0.9595 0.3305
0.3335 0.3335 0.5753
0.5000 0.5000 0.0000
0.6665 0.6665 0.4247
```

Output
As for the total energy: -13.8 eV per cell. The volume comes out at 24.28 Å³ per atom. As for the spin magnetization: 0.00 Bohr magnetons per cell.


Entry 12:
Below is crystalline ZnIn5Hg8 at its relaxed geometry, with properties calculated at the PBE level.

The structure in POSCAR format:
```
ZnIn5Hg8
1.0
6.9881 -3.4481 0.0000
6.9881 3.4481 0.0000
-5.7344 0.0000 7.9011
Zn In Hg
1 5 8
direct
0.0000 0.0000 0.0000
0.2155 0.5424 0.9954
0.4576 0.7845 0.0046
0.5548 0.2246 0.7709
0.7410 0.2590 0.5000
0.7754 0.4452 0.2291
0.0563 0.4485 0.5926
0.1200 0.8376 0.6470
0.1624 0.8800 0.3530
0.2320 0.3958 0.2933
0.5515 0.9437 0.4074
0.6042 0.7680 0.7067
0.6347 0.0830 0.0935
0.9170 0.3653 0.9065
```

Output
As for the total energy: -16.7 eV per cell. The volume comes out at 27.20 Å³ per atom. As for the spin magnetization: 0.00 Bohr magnetons per cell.


What did the fourth record say?
Below is crystalline ZnIn4Hg8 at its relaxed geometry, with properties calculated at the PBE level.

The structure in POSCAR format:
```
ZnIn4Hg8
1.0
8.8591 -1.6847 0.0000
8.8591 1.6847 0.0000
-6.2638 0.0000 11.4658
Zn In Hg
1 4 8
direct
0.0000 0.0000 0.0000
0.0348 0.0348 0.3883
0.0750 0.0750 0.8444
0.5694 0.5694 0.6247
0.7086 0.7086 0.3496
0.1825 0.1825 0.1140
0.2270 0.2270 0.5790
0.2449 0.2449 0.8401
0.3661 0.3661 0.3376
0.4001 0.4001 0.8066
0.5121 0.5121 0.1751
0.8305 0.8305 0.0812
0.8964 0.8964 0.5827
```

Output
As for the total energy: -14.2 eV per cell. The volume comes out at 26.33 Å³ per atom. As for the spin magnetization: 0.00 Bohr magnetons per cell.


- spin magnetization of number 10 (ZnIn3Hg12)?
  0.00 Bohr magnetons per cell


Copy entry 5 word for word.
Below is crystalline ZnIn2Hg2 at its relaxed geometry, with properties calculated at the PBE level.

The structure in POSCAR format:
```
ZnIn2Hg2
1.0
7.3983 0.0000 0.0000
0.0000 7.3983 0.0000
0.0000 0.0000 4.6619
Zn In Hg
2 4 4
direct
0.0000 0.0000 0.0000
0.5000 0.5000 0.0000
0.1614 0.3386 0.5000
0.3386 0.8386 0.5000
0.6614 0.1614 0.5000
0.8386 0.6614 0.5000
0.1506 0.6506 0.0000
0.3494 0.1506 0.0000
0.6506 0.8494 0.0000
0.8494 0.3494 0.0000
```

Output
As for the total energy: -13.7 eV per cell. The volume comes out at 25.52 Å³ per atom. As for the spin magnetization: 0.00 Bohr magnetons per cell.


- Which value of spin magnetization does entry 10 give?
  0.00 Bohr magnetons per cell